Here is GaNiAgF6 after structural relaxation from Alexandria via LeMat-Bulk. Energies are from PBE with a Hubbard U.

Unit cell a=5.290 b=5.290 c=10.503 alpha=90.00 beta=90.00 gamma=120.00
Atoms (fractional coordinates):
F1 0.015 0.378 0.648
F2 0.985 0.622 0.352
Ag1 0.000 0.000 0.500
F3 0.364 0.378 0.852
F4 0.015 0.636 0.852
Ga1 0.667 0.333 0.250
F5 0.636 0.622 0.148
F6 0.622 0.985 0.852
F7 0.378 0.015 0.148
F8 0.636 0.015 0.352
F9 0.985 0.364 0.148
Ni1 0.333 0.667 0.250
Ni2 0.667 0.333 0.750
Ag2 0.000 0.000 0.000
F10 0.364 0.985 0.648
F11 0.378 0.364 0.352
F12 0.622 0.636 0.648
Ga2 0.333 0.667 0.750

Properties
Calculated total energy   -4.31 eV/atom
Density of states at the Fermi level   0.000 states/eV/atom
Symmetry   P-31c (163)